A plane-wave DFT calculation with GGA-PBE was carried out for a geometry-optimized La4RuSeBr2 structure.

## Properties
M_tot in μB per formula unit: 0.0
Energy relative to the elements, uncorrected in eV/atom: -1.278
Energy in eV per atom: -5.76

extended XYZ file:
```
8
Lattice="4.175 0.000 0.000 0.000 7.661 0.310 0.000 -2.514 7.430" Properties=species:S:1:pos:R:3 pbc="T T T"
La 2.087 1.440 1.643
La 2.087 3.707 6.097
La 0.000 0.184 5.991
La 0.000 4.963 1.749
Ru 2.087 3.830 0.155
Se 0.000 0.000 0.000
Br 2.087 -1.257 3.715
Br 0.000 2.574 3.870
```